(1)
A plane-wave DFT calculation with PBE-GGA was carried out for a relaxed structure of NaNp2CoS4.

Geometry as POSCAR:
```
NaNp2CoS4
1.0
-0.154 3.237 2.074
-2.052 -5.044 4.154
12.680 -1.918 3.935
Np S Co Na
4 8 2 2
direct
0.365 0.731 0.562 Np
0.635 0.269 0.062 Np
0.365 0.731 0.938 Np
0.635 0.269 0.438 Np
0.267 0.535 0.117 S
0.733 0.465 0.617 S
0.000 0.000 0.000 S
0.000 0.000 0.500 S
0.267 0.535 0.383 S
0.569 0.138 0.250 S
0.431 0.862 0.750 S
0.733 0.465 0.883 S
0.835 0.669 0.750 Co
0.165 0.331 0.250 Co
0.106 0.212 0.750 Na
0.894 0.788 0.250 Na
```

Computed properties:
Crystal system: orthorhombic
Energy relative to the elements, uncorrected (meV per atom): -1179
Electronic total energy (eV/f.u.): -60.2
Calculated density (Mg/m³): 6.70
Symmetry: Cmcm (63)

=====

(2)
A plane-wave DFT calculation with PBE-GGA was carried out for a relaxed structure of Na3Np2CoSe6.

Geometry as POSCAR:
```
Na3Np2CoSe6
1.0
-1.668 -6.632 1.111
3.211 1.839 -5.858
5.694 0.557 4.663
Na Se Np Co
3 6 2 1
direct
0.500 0.500 0.500 Na
0.830 0.170 0.500 Na
0.170 0.830 0.500 Na
0.074 0.389 0.221 Se
0.389 0.074 0.221 Se
0.611 0.926 0.779 Se
0.241 0.241 0.779 Se
0.759 0.759 0.221 Se
0.926 0.611 0.779 Se
0.666 0.334 0.000 Np
0.334 0.666 0.000 Np
0.000 0.000 0.000 Co
```

Computed properties:
Crystal system: monoclinic
Energy relative to the elements, uncorrected (meV per atom): -948
Electronic total energy (eV/f.u.): -69.2
Calculated density (Mg/m³): 6.14
Symmetry: C2/m (12)